# 1
The following is a PBE calculation of an optimized crystal structure of Ti12Sb6Au, from the Alexandria database.

abc: 11.5913 11.5913 10.9214
angles: 90.00 90.00 120.00
Space group R-3 (No. 148, hexagonal axes)
Unique sites:
Ti1 0.0429 0.8031 0.4298 [18 per cell]
Ti2 0.0574 0.8015 0.9296 [18 per cell]
Sb1 0.0466 0.8394 0.1786 [18 per cell]
Au1 0.0000 0.0000 0.5000 [3 per cell]

Output
magnetization = 0.0 μB/f.u.
VASP energy = -369.97 eV for the cell shown
raw formation energy = -0.030 eV per atom
crystal system = trigonal

---

# 2
The following is a PBE calculation of an optimized crystal structure of SbTe2H, from the Alexandria database.

abc: 4.4882 4.4882 22.0069
angles: 90.00 90.00 120.00
Space group R-3m (No. 166, hexagonal axes)
Unique sites:
Sb1 0.0000 0.0000 0.0000 [3 per cell]
Te1 0.0000 0.0000 0.4110 [6 per cell]
H1 0.0000 0.0000 0.5000 [3 per cell]

Output
magnetization = 0.0 μB/f.u.
VASP energy = -40.02 eV for the cell shown
energy relative to the lowest polymorph listed for this composition = 0.0576 eV per atom
crystal system = trigonal

---

# 3
The following is a PBE calculation of an optimized crystal structure of Ca4CePd5, from the Alexandria database.

abc: 3.552 3.552 17.703
angles: 90.00 90.00 90.00
Space group P4/mmm (No. 123)
Unique sites:
Ca1 0.000 0.000 0.098 [2 per cell]
Ca2 0.000 0.000 0.295 [2 per cell]
Ce1 0.000 0.000 0.500 [1 per cell]
Pd1 0.500 0.500 0.000 [1 per cell]
Pd2 0.500 0.500 0.197 [2 per cell]
Pd3 0.500 0.500 0.404 [2 per cell]

Output
magnetization = 0.8 μB/f.u.
VASP energy = -46.67 eV for the cell shown
energy relative to the elements = -677 meV per atom
crystal system = tetragonal

---

# 4
The following is a PBE calculation of an optimized crystal structure of HoNi2Ge3, from the Alexandria database.

abc: 9.394 7.580 5.521
angles: 90.00 90.00 90.00
Space group Cmcm (No. 63)
Unique sites:
Ho1 0.000 0.156 0.250 [4 per cell]
Ni1 0.217 0.500 0.000 [8 per cell]
Ge1 0.000 0.475 0.750 [4 per cell]
Ge2 0.162 0.204 0.750 [8 per cell]

Output
magnetization = 0.0 μB/f.u.
VASP energy = -129.02 eV for the cell shown
energy relative to the elements = -377 meV per atom
energy relative to the lowest polymorph listed for this composition = 0.0671 eV per atom
crystal system = orthorhombic

---

# 5
The following is a PBE calculation of an optimized crystal structure of KOs2Rh, from the Alexandria database.

abc: 2.826 4.703 10.218
angles: 90.00 90.00 90.00
Space group Cmm2 (No. 35)
Unique sites:
K1 0.000 0.000 0.000 [2 per cell]
Os1 0.000 0.000 0.506 [2 per cell]
Os2 0.000 0.500 0.290 [2 per cell]
Rh1 0.000 0.500 0.728 [2 per cell]

Output
magnetization = 0.6 μB/f.u.
VASP energy = -54.80 eV for the cell shown
energy relative to the elements = 878 meV per atom
energy relative to the lowest polymorph listed for this composition = 0.2179 eV per atom
crystal system = orthorhombic

---

# 6
The following is a PBE calculation of an optimized crystal structure of ZrTcP2Cl, from the Alexandria database.

abc: 5.070 5.070 4.880
angles: 90.00 90.00 90.00
Space group P4/mmm (No. 123)
Unique sites:
Zr1 0.000 0.000 0.000 [1 per cell]
Tc1 0.500 0.500 0.500 [1 per cell]
P1 0.000 0.500 0.000 [2 per cell]
Cl1 0.000 0.000 0.500 [1 per cell]

Output
magnetization = 4.5 μB/f.u.
VASP energy = -28.69 eV for the cell shown
raw formation energy = 0.578 eV per atom
energy relative to the lowest polymorph listed for this composition = 0.2609 eV per atom
crystal system = tetragonal

---

# 7
The following is a PBE calculation of an optimized crystal structure of CoIr2Rh, from the Alexandria database.

abc: 4.1305 4.1305 11.9561
angles: 90.00 90.00 120.00
Space group R3m (No. 160, hexagonal axes)
Unique sites:
Co1 0.0000 0.0000 0.0000 [3 per cell]
Ir1 0.0000 0.0000 0.3508 [3 per cell]
Ir2 0.0000 0.0000 0.5687 [3 per cell]
Rh1 0.0000 0.0000 0.7867 [3 per cell]

Output
magnetization = 1.6 μB/f.u.
VASP energy = -92.92 eV for the cell shown
energy relative to the elements = 302 meV per atom
energy relative to the lowest polymorph listed for this composition = 0.2917 eV per atom
crystal system = trigonal

---

# 8
The following is a PBE calculation of an optimized crystal structure of BaSrCa2Si, from the Alexandria database.

abc: 5.914 5.914 6.204
angles: 90.00 90.00 90.00
Space group P4/mmm (No. 123)
Unique sites:
Ba1 0.000 0.000 0.000 [1 per cell]
Sr1 0.500 0.500 0.000 [1 per cell]
Ca1 0.000 0.500 0.500 [2 per cell]
Si1 0.500 0.500 0.500 [1 per cell]

Output
magnetization = 0.5 μB/f.u.
VASP energy = -13.57 eV for the cell shown
raw formation energy = -0.109 eV per atom
energy relative to the lowest polymorph listed for this composition = 0.0000 eV per atom
crystal system = tetragonal

---

# 9
The following is a PBE calculation of an optimized crystal structure of HoErAl2, from the Alexandria database.

abc: 3.5299 3.5299 27.7181
angles: 90.00 90.00 120.00
Space group R-3m (No. 166, hexagonal axes)
Unique sites:
Ho1 0.0000 0.0000 0.0000 [3 per cell]
Er1 0.0000 0.0000 0.5000 [3 per cell]
Al1 0.0000 0.0000 0.2497 [6 per cell]

Output
magnetization = 0.0 μB/f.u.
VASP energy = -51.97 eV for the cell shown
energy relative to the elements = -175 meV per atom
energy relative to the lowest polymorph listed for this composition = 0.2207 eV per atom
crystal system = trigonal

---

# 10
The following is a PBE calculation of an optimized crystal structure of Hf2FeC, from the Alexandria database.

abc: 6.333 6.333 6.484
angles: 90.00 90.00 90.00
Space group I-42d (No. 122)
Unique sites:
Hf1 0.198 0.250 0.125 [8 per cell]
Fe1 0.000 0.000 0.500 [4 per cell]
C1 0.000 0.000 0.000 [4 per cell]

Output
magnetization = 1.4 μB/f.u.
VASP energy = -146.68 eV for the cell shown
energy relative to the elements = 231 meV per atom
crystal system = tetragonal

---

# 11
The following is a PBE calculation of an optimized crystal structure of Tl8Hg2As, from the Alexandria database.

abc: 18.485 5.239 6.760
angles: 90.00 90.73 90.00
Space group C2/m (No. 12)
Unique sites:
Tl1 0.031 0.000 0.254 [4 per cell]
Tl2 0.087 0.500 0.915 [4 per cell]
Tl3 0.159 0.500 0.413 [4 per cell]
Tl4 0.222 0.000 0.145 [4 per cell]
Hg1 0.157 0.000 0.689 [4 per cell]
As1 0.000 0.500 0.500 [2 per cell]

Output
magnetization = 0.0 μB/f.u.
VASP energy = -48.19 eV for the cell shown
energy relative to the elements = 8 meV per atom
crystal system = monoclinic

---

# 12
The following is a PBE calculation of an optimized crystal structure of PuHfSbO6, from the Alexandria database.

abc: 5.4122 5.4122 10.0599
angles: 90.00 90.00 120.00
Space group P-31c (No. 163)
Unique sites:
Pu1 0.0000 0.0000 0.0000 [2 per cell]
Hf1 0.3333 0.6667 0.2500 [2 per cell]
Sb1 0.3333 0.6667 0.7500 [2 per cell]
O1 0.0101 0.3647 0.6396 [12 per cell]

Output
magnetization = 5.0 μB/f.u.
VASP energy = -162.01 eV for the cell shown
raw formation energy = -2.539 eV per atom
crystal system = trigonal

---

# 13
The following is a PBE calculation of an optimized crystal structure of Rb2NaHF6, from the Alexandria database.

abc: 5.523 5.523 10.457
angles: 90.00 90.00 90.00
Space group I4/mmm (No. 139)
Unique sites:
Rb1 0.000 0.500 0.250 [4 per cell]
Na1 0.000 0.000 0.000 [2 per cell]
H1 0.000 0.000 0.500 [2 per cell]
F1 0.000 0.000 0.211 [4 per cell]
F2 0.196 0.196 0.500 [8 per cell]

Output
magnetization = 0.5 μB/f.u.
VASP energy = -69.78 eV for the cell shown
crystal system = tetragonal

---

# 14
The following is a PBE calculation of an optimized crystal structure of Sc2PPb, from the Alexandria database.

abc: 3.3102 3.3102 30.5672
angles: 90.00 90.00 120.00
Space group R-3m (No. 166, hexagonal axes)
Unique sites:
Sc1 0.0000 0.0000 0.0823 [6 per cell]
P1 0.0000 0.0000 0.0000 [3 per cell]
Pb1 0.0000 0.0000 0.5000 [3 per cell]

Output
magnetization = 0.0 μB/f.u.
VASP energy = -64.98 eV for the cell shown
energy relative to the elements = 31 meV per atom
energy relative to the lowest polymorph listed for this composition = 1.0179 eV per atom
crystal system = trigonal

---

# 15
The following is a PBE calculation of an optimized crystal structure of Ni6PtW2, from the Alexandria database.

abc: 4.324 8.014 13.006
angles: 90.00 90.00 90.00
Space group Fmmm (No. 69)
Unique sites:
Ni1 0.000 0.166 0.174 [16 per cell]
Ni2 0.000 0.176 0.500 [8 per cell]
Pt1 0.000 0.000 0.000 [4 per cell]
W1 0.000 0.000 0.341 [8 per cell]

Output
magnetization = 0.0 μB/f.u.
VASP energy = -268.15 eV for the cell shown
energy relative to the elements = -45 meV per atom
crystal system = orthorhombic

---

# 16
The following is a PBE calculation of an optimized crystal structure of LiMg2Br, from the Alexandria database.

abc: 7.547 7.547 7.547
angles: 90.00 90.00 90.00
Space group F-43m (No. 216)
Unique sites:
Li1 0.000 0.000 0.000 [4 per cell]
Mg1 0.000 0.000 0.500 [4 per cell]
Mg2 0.250 0.250 0.250 [4 per cell]
Br1 0.250 0.250 0.750 [4 per cell]

Output
magnetization = 0.0 μB/f.u.
VASP energy = -28.51 eV for the cell shown
raw formation energy = -0.088 eV per atom
energy relative to the lowest polymorph listed for this composition = 0.3729 eV per atom
crystal system = cubic

---

# 17
The following is a PBE calculation of an optimized crystal structure of Tb4Pm5Pu, from the Alexandria database.

abc: 17.027 3.548 11.488
angles: 90.00 109.02 90.00
Space group C2/m (No. 12)
Unique sites:
Tb1 0.083 0.000 0.289 [4 per cell]
Tb2 0.105 0.500 0.800 [4 per cell]
Pm1 0.000 0.500 0.500 [2 per cell]
Pm2 0.187 0.000 0.078 [4 per cell]
Pm3 0.210 0.000 0.613 [4 per cell]
Pu1 0.000 0.500 0.000 [2 per cell]

Output
magnetization = 6.0 μB/f.u.
VASP energy = -111.91 eV for the cell shown
energy relative to the elements = 65 meV per atom
crystal system = monoclinic

---

# 18
The following is a PBE calculation of an optimized crystal structure of NpAlAgO6, from the Alexandria database.

abc: 5.462 8.825 4.887
angles: 90.00 97.22 90.00
Space group C2 (No. 5)
Unique sites:
Np1 0.000 0.000 0.000 [2 per cell]
Al1 0.000 0.662 0.000 [2 per cell]
Ag1 0.000 0.337 0.500 [2 per cell]
O1 0.104 0.827 0.786 [4 per cell]
O2 0.147 0.516 0.785 [4 per cell]
O3 0.170 0.158 0.784 [4 per cell]

Output
magnetization = 0.9 μB/f.u.
VASP energy = -133.93 eV for the cell shown
raw formation energy = -1.964 eV per atom
crystal system = monoclinic

---

# 19
The following is a PBE calculation of an optimized crystal structure of UCu2Ag2S6, from the Alexandria database.

abc: 6.921 10.182 6.776
angles: 90.00 108.72 90.00
Space group C2/m (No. 12)
Unique sites:
U1 0.000 0.000 0.000 [2 per cell]
Cu1 0.000 0.324 0.000 [4 per cell]
Ag1 0.000 0.146 0.500 [4 per cell]
S1 0.196 0.178 0.246 [8 per cell]
S2 0.199 0.500 0.176 [4 per cell]

Output
magnetization = 0.0 μB/f.u.
VASP energy = -110.08 eV for the cell shown
raw formation energy = -0.463 eV per atom
crystal system = monoclinic